Record 1
Te2PBr: optimized geometry, GGA-PBE.

Geometry as CIF:
```
data_Te2PBr
_space_group_name_H-M_alt 'R -3 m'
_space_group_IT_number 166
_space_group_name_Hall '-R 3 2"'
_cell_length_a 3.5628
_cell_length_b 3.5628
_cell_length_c 30.0058
_cell_angle_alpha 90.00
_cell_angle_beta 90.00
_cell_angle_gamma 120.00
loop_
_atom_site_label
_atom_site_type_symbol
_atom_site_fract_x
_atom_site_fract_y
_atom_site_fract_z
Te1 Te 0.0000 0.0000 0.0802
P1 P 0.0000 0.0000 0.0000
Br1 Br 0.0000 0.0000 0.5000
```

As for the relative energy among the computed polymorphs: 385 meV/atom. The calculation puts the formation energy without anion corrections at 0.470 eV/atom.

Record 2
CeCdBi3: optimized geometry, GGA-PBE.

Geometry as CIF:
```
data_CeCdBi3
_space_group_name_H-M_alt 'P b c m'
_space_group_IT_number 57
_cell_length_a 14.001
_cell_length_b 6.509
_cell_length_c 6.555
_cell_angle_alpha 90.00
_cell_angle_beta 90.00
_cell_angle_gamma 90.00
loop_
_space_group_symop_operation_xyz
'x,y,z'
'-x,-y,-z'
'-x,-y,z+1/2'
'x,y,-z+1/2'
'x,-y+1/2,-z'
'-x,y+1/2,z'
'-x,y+1/2,-z+1/2'
'x,-y+1/2,z+1/2'
loop_
_atom_site_label
_atom_site_type_symbol
_atom_site_fract_x
_atom_site_fract_y
_atom_site_fract_z
Ce1 Ce 0.185 0.009 0.250
Cd1 Cd 0.381 0.250 0.000
Bi1 Bi 0.001 0.250 0.000
Bi2 Bi 0.223 0.514 0.250
Bi3 Bi 0.418 0.668 0.750
```

For the formation energy, the calculation gives -0.32 eV/atom.

Record 3
Y2Er2Ir3: optimized geometry, GGA-PBE.

Geometry as CIF:
```
data_Y2Er2Ir3
_space_group_name_H-M_alt 'C 1 2/m 1'
_space_group_IT_number 12
_cell_length_a 8.279
_cell_length_b 4.779
_cell_length_c 8.387
_cell_angle_alpha 90.00
_cell_angle_beta 109.15
_cell_angle_gamma 90.00
loop_
_space_group_symop_operation_xyz
'x,y,z'
'-x,-y,-z'
'-x,y,-z'
'x,-y,z'
'x+1/2,y+1/2,z'
'-x+1/2,-y+1/2,-z'
'-x+1/2,y+1/2,-z'
'x+1/2,-y+1/2,z'
loop_
_atom_site_label
_atom_site_type_symbol
_atom_site_fract_x
_atom_site_fract_y
_atom_site_fract_z
Y1 Y 0.125 0.000 0.376
Er1 Er 0.124 0.500 0.873
Ir1 Ir 0.000 0.000 0.000
Ir2 Ir 0.249 0.500 0.247
```

For the formation energy, the calculation gives -0.83 eV/atom.

Record 4
Ho7In2Rh2: optimized geometry, GGA-PBE.

Geometry as CIF:
```
data_Ho7In2Rh2
_space_group_name_H-M_alt 'C m m m'
_space_group_IT_number 65
_space_group_name_Hall '-C 2 2'
_cell_length_a 8.068
_cell_length_b 10.917
_cell_length_c 7.059
_cell_angle_alpha 90.00
_cell_angle_beta 90.00
_cell_angle_gamma 90.00
loop_
_atom_site_label
_atom_site_type_symbol
_atom_site_fract_x
_atom_site_fract_y
_atom_site_fract_z
Ho1 Ho 0.000 0.000 0.000
Ho2 Ho 0.000 0.500 0.243
Ho3 Ho 0.250 0.250 0.250
In1 In 0.177 0.000 0.500
Rh1 Rh 0.000 0.288 0.000
```

For the formation energy, the calculation gives -0.42 eV/atom.

Record 5
IrC: optimized geometry, GGA-PBE.

Geometry as CIF:
```
data_IrC
_space_group_name_H-M_alt 'P 4/n m m'
_space_group_IT_number 129
_cell_length_a 3.781
_cell_length_b 3.781
_cell_length_c 5.123
_cell_angle_alpha 90.00
_cell_angle_beta 90.00
_cell_angle_gamma 90.00
loop_
_space_group_symop_operation_xyz
'x,y,z'
'-x,-y,-z'
'-y+1/2,x,z'
'y+1/2,-x,-z'
'-x+1/2,-y+1/2,z'
'x+1/2,y+1/2,-z'
'y,-x+1/2,z'
'-y,x+1/2,-z'
'x+1/2,-y,-z'
'-x+1/2,y,z'
'-y,-x,-z'
'y,x,z'
'-x,y+1/2,-z'
'x,-y+1/2,z'
'y+1/2,x+1/2,-z'
'-y+1/2,-x+1/2,z'
loop_
_atom_site_label
_atom_site_type_symbol
_atom_site_fract_x
_atom_site_fract_y
_atom_site_fract_z
Ir1 Ir 0.250 0.750 0.000
C1 C 0.250 0.250 0.160
```

For the formation energy, the calculation gives 1.10 eV/atom. As for the relative energy among the computed polymorphs: 647 meV/atom.

Record 6
Pr3DyEr2Te6: optimized geometry, GGA-PBE.

Geometry as CIF:
```
data_Pr3DyEr2Te6
_space_group_name_H-M_alt 'C 1 2/m 1'
_space_group_IT_number 12
_cell_length_a 19.504
_cell_length_b 4.360
_cell_length_c 9.018
_cell_angle_alpha 90.00
_cell_angle_beta 105.63
_cell_angle_gamma 90.00
loop_
_space_group_symop_operation_xyz
'x,y,z'
'-x,-y,-z'
'-x,y,-z'
'x,-y,z'
'x+1/2,y+1/2,z'
'-x+1/2,-y+1/2,-z'
'-x+1/2,y+1/2,-z'
'x+1/2,-y+1/2,z'
loop_
_atom_site_label
_atom_site_type_symbol
_atom_site_fract_x
_atom_site_fract_y
_atom_site_fract_z
Pr1 Pr 0.000 0.000 0.000
Pr2 Pr 0.165 0.500 0.332
Dy1 Dy 0.000 0.000 0.500
Er1 Er 0.166 0.500 0.831
Te1 Te 0.004 0.500 0.742
Te2 Te 0.164 0.000 0.593
Te3 Te 0.171 0.000 0.072
```

The calculation puts the formation energy without anion corrections at -1.346 eV/atom.

Record 7
La3Sm6DyEr2: optimized geometry, GGA-PBE.

Geometry as CIF:
```
data_La3Sm6DyEr2
_space_group_name_H-M_alt 'C 1 2/m 1'
_space_group_IT_number 12
_cell_length_a 6.289
_cell_length_b 10.903
_cell_length_c 12.048
_cell_angle_alpha 90.00
_cell_angle_beta 100.07
_cell_angle_gamma 90.00
loop_
_space_group_symop_operation_xyz
'x,y,z'
'-x,-y,-z'
'-x,y,-z'
'x,-y,z'
'x+1/2,y+1/2,z'
'-x+1/2,-y+1/2,-z'
'-x+1/2,y+1/2,-z'
'x+1/2,-y+1/2,z'
loop_
_atom_site_label
_atom_site_type_symbol
_atom_site_fract_x
_atom_site_fract_y
_atom_site_fract_z
La1 La 0.000 0.000 0.000
La2 La 0.000 0.333 0.000
Sm1 Sm 0.247 0.000 0.743
Sm2 Sm 0.248 0.333 0.743
Dy1 Dy 0.000 0.500 0.500
Er1 Er 0.000 0.167 0.500
```

For the formation energy, the calculation gives 0.02 eV/atom.

Record 8
Co2MoP: optimized geometry, GGA-PBE.

Geometry as CIF:
```
data_Co2MoP
_space_group_name_H-M_alt 'P 4/m m m'
_space_group_IT_number 123
_space_group_name_Hall '-P 4 2'
_cell_length_a 3.593
_cell_length_b 3.593
_cell_length_c 3.675
_cell_angle_alpha 90.00
_cell_angle_beta 90.00
_cell_angle_gamma 90.00
loop_
_atom_site_label
_atom_site_type_symbol
_atom_site_fract_x
_atom_site_fract_y
_atom_site_fract_z
Co1 Co 0.000 0.500 0.000
Mo1 Mo 0.000 0.000 0.500
P1 P 0.500 0.500 0.500
```

For the formation energy, the calculation gives -0.06 eV/atom.

Record 9
TlSnPb2Br: optimized geometry, GGA-PBE.

Geometry as CIF:
```
data_TlSnPb2Br
_space_group_name_H-M_alt 'P 3 m 1'
_space_group_IT_number 156
_cell_length_a 4.5742
_cell_length_b 4.5742
_cell_length_c 9.8618
_cell_angle_alpha 90.00
_cell_angle_beta 90.00
_cell_angle_gamma 120.00
loop_
_space_group_symop_operation_xyz
'x,y,z'
'-y,x-y,z'
'-x+y,-x,z'
'-y,-x,z'
'-x+y,y,z'
'x,x-y,z'
loop_
_atom_site_label
_atom_site_type_symbol
_atom_site_fract_x
_atom_site_fract_y
_atom_site_fract_z
Tl1 Tl 0.0000 0.0000 0.0000
Sn1 Sn 0.6667 0.3333 0.2345
Pb1 Pb 0.0000 0.0000 0.3859
Pb2 Pb 0.6667 0.3333 0.5814
Br1 Br 0.3333 0.6667 0.7922
```

As for the relative energy among the computed polymorphs: 44 meV/atom. The calculation puts the formation energy without anion corrections at -0.175 eV/atom.

Record 10
Dy2Co17C2: optimized geometry, GGA-PBE.

Geometry as CIF:
```
data_Dy2Co17C2
_space_group_name_H-M_alt 'C 1 2/m 1'
_space_group_IT_number 12
_cell_length_a 9.427
_cell_length_b 8.438
_cell_length_c 6.393
_cell_angle_alpha 90.00
_cell_angle_beta 98.53
_cell_angle_gamma 90.00
loop_
_space_group_symop_operation_xyz
'x,y,z'
'-x,-y,-z'
'-x,y,-z'
'x,-y,z'
'x+1/2,y+1/2,z'
'-x+1/2,-y+1/2,-z'
'-x+1/2,y+1/2,-z'
'x+1/2,-y+1/2,z'
loop_
_atom_site_label
_atom_site_type_symbol
_atom_site_fract_x
_atom_site_fract_y
_atom_site_fract_z
Dy1 Dy 0.150 0.000 0.334
Co1 Co 0.000 0.214 0.000
Co2 Co 0.000 0.500 0.500
Co3 Co 0.097 0.500 0.906
Co4 Co 0.102 0.254 0.658
Co5 Co 0.141 0.357 0.281
Co6 Co 0.152 0.000 0.866
Co7 Co 0.250 0.250 0.000
C1 C 0.250 0.250 0.500
```

For the formation energy, the calculation gives -0.06 eV/atom.

Record 11
BaPd2Au2: optimized geometry, GGA-PBE.

Geometry as CIF:
```
data_BaPd2Au2
_space_group_name_H-M_alt 'P 4/m b m'
_space_group_IT_number 127
_space_group_name_Hall '-P 4 2ab'
_cell_length_a 7.977
_cell_length_b 7.977
_cell_length_c 3.321
_cell_angle_alpha 90.00
_cell_angle_beta 90.00
_cell_angle_gamma 90.00
loop_
_atom_site_label
_atom_site_type_symbol
_atom_site_fract_x
_atom_site_fract_y
_atom_site_fract_z
Ba1 Ba 0.000 0.000 0.000
Pd1 Pd 0.126 0.374 0.000
Au1 Au 0.167 0.667 0.500
```

For the formation energy, the calculation gives -0.33 eV/atom. As for the relative energy among the computed polymorphs: 77 meV/atom.

Record 12
ScTa2Pb: optimized geometry, GGA-PBE.

Geometry as CIF:
```
data_ScTa2Pb
_space_group_name_H-M_alt 'P 4 m m'
_space_group_IT_number 99
_cell_length_a 3.097
_cell_length_b 3.097
_cell_length_c 8.969
_cell_angle_alpha 90.00
_cell_angle_beta 90.00
_cell_angle_gamma 90.00
loop_
_space_group_symop_operation_xyz
'x,y,z'
'-y,x,z'
'-x,-y,z'
'y,-x,z'
'-x,y,z'
'y,x,z'
'x,-y,z'
'-y,-x,z'
loop_
_atom_site_label
_atom_site_type_symbol
_atom_site_fract_x
_atom_site_fract_y
_atom_site_fract_z
Sc1 Sc 0.000 0.000 0.000
Ta1 Ta 0.000 0.000 0.458
Ta2 Ta 0.500 0.500 0.233
Pb1 Pb 0.500 0.500 0.718
```

For the formation energy, the calculation gives 0.24 eV/atom.